No. 1
# Tb2Sm3Sc2 | the Alexandria database | GGA-PBE | optimized geometry
# **Formation energy from the elements**: 127 meV per atom
# **Volume**: 431.4 Å³/cell
data_Tb2Sm3Sc2
_chemical_formula_sum 'Tb4 Sm6 Sc4'
_cell_length_a 17.054
_cell_length_b 3.437
_cell_length_c 8.383
_cell_angle_alpha 90.00
_cell_angle_beta 118.60
_cell_angle_gamma 90.00
_symmetry_space_group_name_H-M 'C 1 2/m 1'
_symmetry_Int_Tables_number 12
_symmetry_space_group_name_Hall '-C 2y'
loop_
_atom_site_label
_atom_site_type_symbol
_atom_site_fract_x
_atom_site_fract_y
_atom_site_fract_z
Tb1 Tb 0.139 0.000 0.311
Sm1 Sm 0.000 0.000 0.500
Sm2 Sm 0.213 0.000 0.803
Sc1 Sc 0.064 0.500 0.910

No. 2
# ReGeSb3 | the Alexandria database | GGA-PBE | optimized geometry
# **Volume**: 138.9 Å³/cell
# **Uncorrected energy**: -25.48 eV per formula unit
data_ReGeSb3
_chemical_formula_sum 'Re1 Ge1 Sb3'
_cell_length_a 5.179
_cell_length_b 5.179
_cell_length_c 5.179
_cell_angle_alpha 90.00
_cell_angle_beta 90.00
_cell_angle_gamma 90.00
_symmetry_space_group_name_H-M 'P m -3 m'
_symmetry_Int_Tables_number 221
_symmetry_space_group_name_Hall '-P 4 2 3'
loop_
_atom_site_label
_atom_site_type_symbol
_atom_site_fract_x
_atom_site_fract_y
_atom_site_fract_z
Re1 Re 0.000 0.000 0.000
Ge1 Ge 0.500 0.500 0.500
Sb1 Sb 0.000 0.000 0.500

No. 3
# BaSr2CaRh | the Alexandria database | GGA-PBE | optimized geometry
# **Formation energy from the elements**: -158 meV per atom
# **Volume**: 207.0 Å³/cell
data_BaSr2CaRh
_chemical_formula_sum 'Ba1 Sr2 Ca1 Rh1'
_cell_length_a 6.007
_cell_length_b 6.007
_cell_length_c 5.737
_cell_angle_alpha 90.00
_cell_angle_beta 90.00
_cell_angle_gamma 90.00
_symmetry_space_group_name_H-M 'P 4/m m m'
_symmetry_Int_Tables_number 123
_symmetry_space_group_name_Hall '-P 4 2'
loop_
_atom_site_label
_atom_site_type_symbol
_atom_site_fract_x
_atom_site_fract_y
_atom_site_fract_z
Ba1 Ba 0.000 0.000 0.000
Sr1 Sr 0.000 0.500 0.500
Ca1 Ca 0.500 0.500 0.000
Rh1 Rh 0.500 0.500 0.500

No. 4
# Tm2Se2S | the Alexandria database | GGA-PBE | optimized geometry
# **Volume**: 552.3 Å³/cell
# **Uncorrected energy**: -29.48 eV per formula unit
data_Tm2Se2S
_chemical_formula_sum 'Tm8 Se8 S4'
_cell_length_a 12.786
_cell_length_b 5.664
_cell_length_c 8.260
_cell_angle_alpha 90.00
_cell_angle_beta 112.58
_cell_angle_gamma 90.00
_symmetry_space_group_name_H-M 'C 1 2/m 1'
_symmetry_Int_Tables_number 12
_symmetry_space_group_name_Hall '-C 2y'
loop_
_atom_site_label
_atom_site_type_symbol
_atom_site_fract_x
_atom_site_fract_y
_atom_site_fract_z
Tm1 Tm 0.013 0.000 0.282
Tm2 Tm 0.173 0.500 0.096
Se1 Se 0.011 0.500 0.241
Se2 Se 0.165 0.000 0.074
S1 S 0.151 0.000 0.608

no.,density (g cm⁻³)
1,6.61
2,7.46
3,3.65
4,6.35